# BeAlW2 | Alexandria | PBE-GGA | optimized geometry
# Volume in Å³/cell: 56.9
# Final energy in eV/atom: -8.30
# E_form in meV/atom: 42
data_BeAlW2
_chemical_formula_sum 'Be1 Al1 W2'
_cell_length_a 2.744
_cell_length_b 4.237
_cell_length_c 4.961
_cell_angle_alpha 90.00
_cell_angle_beta 99.26
_cell_angle_gamma 90.00
_space_group_name_H-M_alt 'P 1 m 1'
_space_group_IT_number 6
loop_
_space_group_symop_operation_xyz
'x,y,z'
'x,-y,z'
loop_
_atom_site_label
_atom_site_type_symbol
_atom_site_fract_x
_atom_site_fract_y
_atom_site_fract_z
Be1 Be 0.000 0.000 0.000
Al1 Al 0.988 0.500 0.740
W1 W 0.401 0.000 0.499
W2 W 0.598 0.500 0.216

***

# CdFe2Ni | Alexandria | PBE-GGA | optimized geometry
# Volume in Å³/cell: 54.9
# Final energy in eV/atom: -5.76
# E_form in meV/atom: 144
data_CdFe2Ni
_chemical_formula_sum 'Cd1 Fe2 Ni1'
_cell_length_a 2.929
_cell_length_b 3.003
_cell_length_c 6.241
_cell_angle_alpha 90.00
_cell_angle_beta 90.08
_cell_angle_gamma 90.00
_space_group_name_H-M_alt 'P 1 m 1'
_space_group_IT_number 6
loop_
_space_group_symop_operation_xyz
'x,y,z'
'x,-y,z'
loop_
_atom_site_label
_atom_site_type_symbol
_atom_site_fract_x
_atom_site_fract_y
_atom_site_fract_z
Cd1 Cd 0.000 0.000 0.000
Fe1 Fe 0.001 0.000 0.493
Fe2 Fe 0.500 0.500 0.702
Ni1 Ni 0.500 0.500 0.283

***

> Which value of E_form does entry 2 give?

144 meV/atom